No. 1
Computed, not measured: Cs3SrSn2F9 after structural relaxation at the PBE level of DFT.

Unit cell a=6.801 b=6.801 c=8.337 alpha=90.00 beta=90.00 gamma=120.00
Fractional positions:
F1 0.832 0.665 0.667
F2 0.500 0.000 0.000
F3 0.168 0.335 0.333
Cs1 0.667 0.333 0.327
F4 0.665 0.832 0.333
Sr1 0.000 0.000 0.500
F5 0.500 0.500 0.000
F6 0.832 0.168 0.667
F7 0.335 0.168 0.667
F8 0.000 0.500 0.000
Sn1 0.333 0.667 0.169
Cs2 0.000 0.000 0.000
F9 0.168 0.832 0.333
Cs3 0.333 0.667 0.673
Sn2 0.667 0.333 0.831

Values from the calculation:
* SG: P-3m1
* formation energy from raw total energies: -2.790 eV/atom
* VASP energy: -4.730 eV per atom
* calculated volume: 22.267 A^3/atom
* DOS(E_F): 0.0 states/eV/cell

=====

No. 2
Computed, not measured: Cs2TaSnF6 after structural relaxation at the PBE level of DFT.

Unit cell a=6.453 b=6.453 c=7.558 alpha=64.73 beta=64.73 gamma=90.00
Last column: magnetic moment on the atom in μB.
Fractional positions:
Cs1 0.750 0.250 0.500  0.00
Sn1 0.500 0.500 0.000  0.01
Ta1 0.000 0.000 0.000  0.76
F1 0.222 0.222 0.000  0.02
F2 0.837 0.837 0.325  -0.01
Cs2 0.250 0.750 0.500  0.00
F3 0.778 0.778 0.000  0.02
F4 0.778 0.222 0.000  0.02
F5 0.163 0.163 0.675  -0.01
F6 0.222 0.778 0.000  0.02

Values from the calculation:
* SG: I4/mmm
* formation energy from raw total energies: -2.404 eV/atom
* VASP energy: -5.283 eV per atom
* calculated volume: 25.094 A^3/atom
* DOS(E_F): 0.0 states/eV/cell

=====

No. 3
Computed, not measured: CsTiSnF6 after structural relaxation at the PBE level of DFT.

Unit cell a=8.114 b=7.908 c=7.842 alpha=120.28 beta=121.15 gamma=90.00
Last column: magnetic moment on the atom in μB.
Fractional positions:
F1 0.458 0.624 0.259  0.00
Cs1 0.852 0.602 0.704  0.00
F2 0.140 0.890 0.280  0.00
Ti1 0.500 0.500 0.000  0.92
Sn1 0.500 0.000 0.500  0.01
Cs2 0.148 0.398 0.296  0.00
F3 0.860 0.110 0.720  0.00
Sn2 0.000 0.000 0.500  0.01
F4 0.458 0.136 0.259  0.00
F5 0.542 0.376 0.741  0.00
F6 0.801 0.624 0.259  0.00
F7 0.542 0.864 0.741  0.00
F8 0.199 0.864 0.741  0.00
Ti2 0.500 0.000 0.000  0.92
F9 0.801 0.136 0.259  0.00
F10 0.513 0.763 0.026  -0.01
F11 0.199 0.376 0.741  0.00
F12 0.487 0.237 0.974  -0.01

Values from the calculation:
* SG: Imma
* formation energy from raw total energies: -2.888 eV/atom
* VASP energy: -5.552 eV per atom
* calculated volume: 19.332 A^3/atom
* DOS(E_F): 3.7 states/eV/cell

=====

No. 4
Computed, not measured: Cs2TlSnF8 after structural relaxation at the PBE level of DFT.

Unit cell a=6.422 b=6.422 c=7.805 alpha=90.00 beta=90.00 gamma=120.00
Last column: magnetic moment on the atom in μB.
Fractional positions:
Cs1 0.667 0.333 0.178  0.03
Cs2 0.333 0.667 0.822  0.03
F1 0.854 0.708 0.849  0.00
F2 0.146 0.854 0.151  0.00
F3 0.333 0.667 0.481  0.40
F4 0.667 0.333 0.519  0.40
F5 0.146 0.292 0.151  0.00
F6 0.708 0.854 0.151  0.00
Tl1 0.000 0.000 0.500  0.00
F7 0.854 0.146 0.849  0.00
F8 0.292 0.146 0.849  0.00
Sn1 0.000 0.000 0.000  0.00

Values from the calculation:
* SG: P-3m1
* formation energy from raw total energies: -2.246 eV/atom
* VASP energy: -4.166 eV per atom
* calculated volume: 23.232 A^3/atom
* DOS(E_F): 8.8 states/eV/cell